Record 1
Tb4ErRu2 | the Alexandria database | PBE | optimized geometry; DFT formation energy = -0.23 eV/atom; calculated volume = 25.75 Å³ per atom; electronic total energy = -6.18 eV per atom; crystal system = monoclinic
1.0
6.352 0.000 0.000
0.000 7.282 -2.980
0.000 -0.041 7.811
Tb Er Ru
8 2 4
direct
0.502 0.414 0.758
0.250 0.244 0.323
0.750 0.756 0.677
0.998 0.414 0.758
0.750 0.021 0.377
0.002 0.586 0.242
0.498 0.586 0.242
0.250 0.979 0.623
0.250 0.836 0.972
0.750 0.164 0.028
0.250 0.254 0.979
0.750 0.746 0.021
0.750 0.375 0.412
0.250 0.625 0.588

---

Record 2
TbErRu | the Alexandria database | PBE | optimized geometry; DFT formation energy = -0.35 eV/atom; calculated volume = 24.87 Å³ per atom; energy above the lowest structure with this stoichiometry = 0.0000 eV per atom; electronic total energy = -6.51 eV per atom; crystal system = tetragonal
1.0
3.393 0.000 0.000
0.000 3.393 0.000
-1.696 -1.696 6.483
Ru Tb Er
1 1 1
direct
0.668 0.668 0.337
0.039 0.039 0.078
0.293 0.293 0.585